[1]
# MnGaBrCl2

Crystalline MnGaBrCl2 at its relaxed geometry (PBE-GGA, Alexandria).

Lattice parameters (Å, degrees): 4.9482 4.9482 5.4503 90.00 90.00 90.00
Sites, in units of the cell vectors:
Mn1 0.0000 0.0000 0.0000
Ga1 0.5000 0.5000 0.5000
Br1 0.0000 0.0000 0.5000
Cl1 0.0000 0.5000 0.0000
Cl2 0.5000 0.0000 0.0000

Calculated values
**Uncorrected formation energy**: -0.758 eV/atom
**Crystal system**: tetragonal
**VASP energy**: -4.27 eV per atom



[2]
# Mn2Cr2Ir

Crystalline Mn2Cr2Ir at its relaxed geometry (PBE-GGA, Alexandria).

Lattice parameters (Å, degrees): 3.7072 3.7072 9.3069 90.00 90.00 90.00
Sites, in units of the cell vectors:
Mn1 0.0000 0.0000 0.1123
Mn2 0.0000 0.0000 0.8877
Mn3 0.5000 0.5000 0.3877
Mn4 0.5000 0.5000 0.6123
Cr1 0.0000 0.5000 0.2500
Cr2 0.0000 0.5000 0.7500
Cr3 0.5000 0.0000 0.2500
Cr4 0.5000 0.0000 0.7500
Ir1 0.0000 0.0000 0.5000
Ir2 0.5000 0.5000 0.0000

Calculated values
**DOS at the Fermi energy**: 1.7652 states/eV per atom
**Relative energy among the computed polymorphs**: 314 meV/atom
**Crystal system**: tetragonal
**VASP energy**: -8.86 eV per atom



[3]
# Dy2S

Crystalline Dy2S at its relaxed geometry (PBE-GGA, Alexandria).

Lattice parameters (Å, degrees): 13.1826 3.8149 6.2404 90.00 90.00 90.00
Sites, in units of the cell vectors:
Dy1 0.0405 0.2500 0.2379
Dy2 0.2072 0.2500 0.7511
Dy3 0.2928 0.7500 0.2511
Dy4 0.4595 0.7500 0.7379
Dy5 0.5405 0.2500 0.2621
Dy6 0.7072 0.2500 0.7489
Dy7 0.7928 0.7500 0.2489
Dy8 0.9595 0.7500 0.7621
S1 0.1231 0.7500 0.4956
S2 0.3769 0.2500 0.9956
S3 0.6231 0.7500 0.0044
S4 0.8769 0.2500 0.5044

Calculated values
**Uncorrected formation energy**: -1.261 eV/atom
**DOS at the Fermi energy**: 0.8140 states/eV per atom
**Crystal system**: orthorhombic
**VASP energy**: -5.70 eV per atom



[4]
# Tm4CdPt

Crystalline Tm4CdPt at its relaxed geometry (PBE-GGA, Alexandria).

Lattice parameters (Å, degrees): 9.5494 9.5494 9.5494 60.00 60.00 60.00
Sites, in units of the cell vectors:
Tm1 0.1854 0.1854 0.8146
Tm2 0.1854 0.8146 0.1854
Tm3 0.1854 0.8146 0.8146
Tm4 0.3969 0.3969 0.3969
Tm5 0.3969 0.3969 0.8092
Tm6 0.3969 0.8092 0.3969
Tm7 0.5603 0.5603 0.9397
Tm8 0.5603 0.9397 0.5603
Tm9 0.5603 0.9397 0.9397
Tm10 0.8092 0.3969 0.3969
Tm11 0.8146 0.1854 0.1854
Tm12 0.8146 0.1854 0.8146
Tm13 0.8146 0.8146 0.1854
Tm14 0.9397 0.5603 0.5603
Tm15 0.9397 0.5603 0.9397
Tm16 0.9397 0.9397 0.5603
Cd1 0.1676 0.1676 0.1676
Cd2 0.1676 0.1676 0.4972
Cd3 0.1676 0.4972 0.1676
Cd4 0.4972 0.1676 0.1676
Pt1 0.1806 0.6065 0.6065
Pt2 0.6065 0.1806 0.6065
Pt3 0.6065 0.6065 0.1806
Pt4 0.6065 0.6065 0.6065

Calculated values
**DOS at the Fermi energy**: 1.0521 states/eV per atom
**Relative energy among the computed polymorphs**: 0 meV/atom
**Crystal system**: cubic
**VASP energy**: -4.77 eV per atom



[5]
# Zr4CdCo2

Crystalline Zr4CdCo2 at its relaxed geometry (PBE-GGA, Alexandria).

Lattice parameters (Å, degrees): 11.3047 11.3047 11.3047 19.94 19.94 19.94
Sites, in units of the cell vectors:
Zr1 0.1028 0.1028 0.1028
Zr2 0.3006 0.3006 0.3006
Zr3 0.6994 0.6994 0.6994
Zr4 0.8972 0.8972 0.8972
Cd1 0.5000 0.5000 0.5000
Co1 0.4008 0.4008 0.4008
Co2 0.5992 0.5992 0.5992

Calculated values
**DOS at the Fermi energy**: 1.0956 states/eV per atom
**Crystal system**: trigonal
**VASP energy**: -7.08 eV per atom



[6]
# NbMo4

Crystalline NbMo4 at its relaxed geometry (PBE-GGA, Alexandria).

Lattice parameters (Å, degrees): 13.1203 4.5107 2.7736 90.00 97.96 90.00
Sites, in units of the cell vectors:
Nb1 0.0000 0.0000 0.0000
Nb2 0.5000 0.5000 0.0000
Mo1 0.1021 0.5000 0.4024
Mo2 0.2012 0.0000 0.7964
Mo3 0.2988 0.5000 0.2036
Mo4 0.3979 0.0000 0.5976
Mo5 0.6021 0.0000 0.4024
Mo6 0.7012 0.5000 0.7964
Mo7 0.7988 0.0000 0.2036
Mo8 0.8979 0.5000 0.5976

Calculated values
**DOS at the Fermi energy**: 0.4825 states/eV per atom
**Relative energy among the computed polymorphs**: 0 meV/atom
**Crystal system**: monoclinic
**VASP energy**: -10.76 eV per atom



[7]
# PrIn12Rh4

Crystalline PrIn12Rh4 at its relaxed geometry (PBE-GGA, Alexandria).

Lattice parameters (Å, degrees): 8.2908 8.2908 8.2908 109.47 109.47 109.47
Sites, in units of the cell vectors:
Pr1 0.0000 0.0000 0.0000
In1 0.1627 0.3303 0.8324
In2 0.1676 0.4979 0.3303
In3 0.1676 0.8373 0.6697
In4 0.3303 0.1676 0.4979
In5 0.3303 0.8324 0.1627
In6 0.4979 0.3303 0.1676
In7 0.5021 0.6697 0.8324
In8 0.6697 0.1676 0.8373
In9 0.6697 0.8324 0.5021
In10 0.8324 0.1627 0.3303
In11 0.8324 0.5021 0.6697
In12 0.8373 0.6697 0.1676
Rh1 0.0000 0.0000 0.5000
Rh2 0.0000 0.5000 0.0000
Rh3 0.5000 0.0000 0.0000
Rh4 0.5000 0.5000 0.5000

Calculated values
**DOS at the Fermi energy**: 0.5159 states/eV per atom
**Crystal system**: cubic
**VASP energy**: -4.07 eV per atom



[8]
# NaNd2PdO5

Crystalline NaNd2PdO5 at its relaxed geometry (PBE-GGA, Alexandria).

Lattice parameters (Å, degrees): 6.8101 6.8101 5.8496 90.00 90.00 90.00
Sites, in units of the cell vectors:
Na1 0.0000 0.0000 0.0000
Na2 0.5000 0.5000 0.0000
Nd1 0.1748 0.3252 0.5000
Nd2 0.3252 0.8252 0.5000
Nd3 0.6748 0.1748 0.5000
Nd4 0.8252 0.6748 0.5000
Pd1 0.0000 0.5000 0.0000
Pd2 0.5000 0.0000 0.0000
O1 0.0000 0.0000 0.5000
O2 0.1366 0.6366 0.2531
O3 0.1366 0.6366 0.7469
O4 0.3634 0.1366 0.2531
O5 0.3634 0.1366 0.7469
O6 0.5000 0.5000 0.5000
O7 0.6366 0.8634 0.2531
O8 0.6366 0.8634 0.7469
O9 0.8634 0.3634 0.2531
O10 0.8634 0.3634 0.7469

Calculated values
**Uncorrected formation energy**: -2.162 eV/atom
**DOS at the Fermi energy**: 0.6938 states/eV per atom
**Crystal system**: tetragonal
**VASP energy**: -6.70 eV per atom